(1)
## RbCuH2 (PBE)

Data for a geometry-optimized RbCuH2 structure.

extended XYZ file:
```
4
Lattice="3.8748 -2.4706 0.0910 0.2094 -3.8553 2.4939 0.1696 -4.0869 -2.0965" Properties=species:S:1:pos:R:3 pbc="T T T"
Rb 2.1269 -5.2064 0.2442
H 3.1904 -7.8096 0.3663
H 1.0635 -2.6032 0.1221
Cu 0.0000 0.0000 0.0000
```

Output
**M_tot**: 0.196 μB per formula unit
**Offset from the most stable computed form**: 951.3 meV per atom
**Density of states at the Fermi level**: 2.45 states/eV/f.u.

---

(2)
## TiRuS3 (PBE)

Data for a geometry-optimized TiRuS3 structure.

extended XYZ file:
```
5
Lattice="4.6578 0.0000 0.0000 0.0000 4.6578 0.0000 0.0000 0.0000 4.6578" Properties=species:S:1:pos:R:3 pbc="T T T"
S 0.0000 0.0000 2.3289
S 2.3289 0.0000 0.0000
S 0.0000 2.3289 0.0000
Ru 2.3289 2.3289 2.3289
Ti 0.0000 0.0000 0.0000
```

Output
**M_tot**: 3.683 μB per formula unit
**Offset from the most stable computed form**: 0.0 meV per atom
**Density of states at the Fermi level**: 2.88 states/eV/f.u.

---

(3)
## Sr2MnHg (PBE)

Data for a geometry-optimized Sr2MnHg structure.

extended XYZ file:
```
4
Lattice="-4.7903 1.8599 1.8038 -3.9347 -3.5021 1.3833 -1.3693 -0.6290 5.2335" Properties=species:S:1:pos:R:3 pbc="T T T"
Sr 0.0000 0.0000 0.0000
Sr -2.5236 -0.5678 2.1052
Mn -7.5707 -1.7034 6.3155
Hg -5.0472 -1.1356 4.2103
```

Output
**M_tot**: 4.524 μB per formula unit
**Density of states at the Fermi level**: 3.17 states/eV/f.u.
**Energy of formation from the pure elements**: 238 meV/atom

---

Copy entry 2 word for word.
## TiRuS3 (PBE)

Data for a geometry-optimized TiRuS3 structure.

extended XYZ file:
```
5
Lattice="4.6578 0.0000 0.0000 0.0000 4.6578 0.0000 0.0000 0.0000 4.6578" Properties=species:S:1:pos:R:3 pbc="T T T"
S 0.0000 0.0000 2.3289
S 2.3289 0.0000 0.0000
S 0.0000 2.3289 0.0000
Ru 2.3289 2.3289 2.3289
Ti 0.0000 0.0000 0.0000
```

Output
**M_tot**: 3.683 μB per formula unit
**Offset from the most stable computed form**: 0.0 meV per atom
**Density of states at the Fermi level**: 2.88 states/eV/f.u.

---

Which value of density of states at the Fermi level does entry 3 give?
3.17 states/eV/f.u.

---

Copy entry 1 word for word.
## RbCuH2 (PBE)

Data for a geometry-optimized RbCuH2 structure.

extended XYZ file:
```
4
Lattice="3.8748 -2.4706 0.0910 0.2094 -3.8553 2.4939 0.1696 -4.0869 -2.0965" Properties=species:S:1:pos:R:3 pbc="T T T"
Rb 2.1269 -5.2064 0.2442
H 3.1904 -7.8096 0.3663
H 1.0635 -2.6032 0.1221
Cu 0.0000 0.0000 0.0000
```

Output
**M_tot**: 0.196 μB per formula unit
**Offset from the most stable computed form**: 951.3 meV per atom
**Density of states at the Fermi level**: 2.45 states/eV/f.u.

---

The lowest density of states at the Fermi level belongs to which entry?
RbCuH2